No. 1
Nd7Ga2Cu2 | GGA-PBE | relaxed

Results
formation energy from the elements	-72	meV per atom
symmetry	Cmmm (65)
DOS at the Fermi energy	14.05	states/eV/f.u.
DFT total energy	-4.4007	eV per atom

abc: 6.8846 7.1455 6.8846
angles: 90.00 109.46 90.00
Fractional coordinates of all 11 atoms:
Ga 0.8393 0.5000 0.8393
Ga 0.1607 0.5000 0.1607
Nd 0.0002 0.7298 0.4997
Nd 0.4998 0.2586 0.5002
Nd 0.0000 0.0000 0.0000
Nd 0.5003 0.7298 0.9998
Nd 0.9998 0.2702 0.5003
Nd 0.5002 0.7414 0.4998
Nd 0.4997 0.2702 0.0002
Cu 0.7081 0.0000 0.2919
Cu 0.2919 0.0000 0.7081

---

No. 2
Re5Pt | GGA-PBE | relaxed

Results
formation energy from the elements	410	meV per atom
symmetry	F-43m (216)
DOS at the Fermi energy	6.27	states/eV/f.u.
DFT total energy	-10.9698	eV per atom

abc: 5.1223 5.1223 5.1223
angles: 60.00 60.00 60.00
Fractional coordinates of all 6 atoms:
Re 0.6259 0.6259 0.1224
Re 0.6259 0.6259 0.6259
Re 0.6259 0.1224 0.6259
Re 0.2500 0.2500 0.2500
Re 0.1224 0.6259 0.6259
Pt 0.0000 0.0000 0.0000

---

No. 3
DyNiBi | GGA-PBE | relaxed

Results
formation energy from the elements	-675	meV per atom
symmetry	F-43m (216)
DOS at the Fermi energy	0.09	states/eV/f.u.
DFT total energy	-5.4302	eV per atom

abc: 4.5863 4.5863 4.5863
angles: 60.00 60.00 60.00
Fractional coordinates of all 3 atoms:
Ni 0.0000 0.0000 0.0000
Bi 0.7500 0.7500 0.7500
Dy 0.2500 0.2500 0.2500

---

Number 2 is which compound?
Re5Pt